No. 1
The following is a DFT calculation (GGA-PBE) of an optimized crystal structure of Mo2W2C3.

```
Mo2W2C3
1.0
3.023 0.000 0.000
-1.511 5.037 0.000
-0.011 -0.847 5.221
Mo W C
2 2 3
Cartesian
-0.002 0.891 1.791 Mo
1.504 3.300 3.430 Mo
-0.001 3.746 0.637 W
1.502 0.444 4.583 W
-0.008 1.782 3.893 C
1.506 -0.423 2.610 C
1.509 2.408 1.328 C
```

## Properties
The final energy is -0.393 Ha/atom.

No. 2
The following is a DFT calculation (GGA-PBE) of an optimized crystal structure of Ac3HgGe2.

```
Ac3HgGe2
1.0
4.633 0.000 0.000
0.000 17.200 0.000
0.000 0.000 4.697
Ac Hg Ge
6 2 4
Cartesian
0.000 0.000 0.000 Ac
0.000 2.914 2.348 Ac
0.000 14.286 2.348 Ac
2.317 5.686 2.348 Ac
2.317 8.600 0.000 Ac
2.317 11.514 2.348 Ac
0.000 8.600 2.348 Hg
2.317 0.000 2.348 Hg
0.000 5.845 0.000 Ge
0.000 11.355 0.000 Ge
2.317 2.755 0.000 Ge
2.317 14.445 0.000 Ge
```

## Properties
The final energy is -0.150 Ha/atom.

No. 3
The following is a DFT calculation (GGA-PBE) of an optimized crystal structure of CaHf2ScS.

```
CaHf2ScS
1.0
5.138 0.000 0.000
0.000 5.138 0.000
0.000 0.000 5.026
Ca Hf Sc S
1 2 1 1
Cartesian
0.000 0.000 0.000 Ca
0.000 2.569 0.000 Hf
2.569 0.000 0.000 Hf
0.000 0.000 2.513 Sc
2.569 2.569 2.513 S
```

## Properties
The final energy is -0.175 Ha/atom. The value obtained for the uncorrected formation energy is 821 kJ/mol of formula units.

No. 4
The following is a DFT calculation (GGA-PBE) of an optimized crystal structure of FeCoSi2.

```
FeCoSi2
1.0
2.649 0.000 0.000
-1.324 2.294 0.000
0.000 0.000 22.013
Fe Co Si
3 3 6
Cartesian
0.000 0.000 0.000 Fe
0.000 1.529 14.675 Fe
1.324 0.765 7.338 Fe
0.000 0.000 11.007 Co
0.000 1.529 3.669 Co
1.324 0.765 18.344 Co
0.000 0.000 5.503 Si
0.000 0.000 16.510 Si
0.000 1.529 9.172 Si
0.000 1.529 20.179 Si
1.324 0.765 1.834 Si
1.324 0.765 12.841 Si
```

## Properties
The final energy is -0.254 Ha/atom. The value obtained for the uncorrected formation energy is -121 kJ/mol of formula units.

No. 5
The following is a DFT calculation (GGA-PBE) of an optimized crystal structure of NaGaPb.

```
NaGaPb
1.0
3.283 0.000 0.000
0.000 3.283 0.000
0.000 0.000 29.037
Na Ga Pb
4 4 4
Cartesian
0.000 0.000 4.214 Na
0.000 0.000 24.823 Na
1.641 1.641 10.304 Na
1.641 1.641 18.733 Na
0.000 0.000 8.090 Ga
0.000 0.000 20.947 Ga
1.641 1.641 6.429 Ga
1.641 1.641 22.608 Ga
0.000 0.000 12.913 Pb
0.000 0.000 16.124 Pb
1.641 1.641 1.606 Pb
1.641 1.641 27.431 Pb
```

## Properties
The final energy is -0.100 Ha/atom.

No. 6
The following is a DFT calculation (GGA-PBE) of an optimized crystal structure of K2PmBiO4.

```
K2PmBiO4
1.0
6.254 0.000 0.000
0.000 3.614 0.000
-2.076 0.000 6.310
K Pm Bi O
2 1 1 4
Cartesian
0.000 0.000 0.000 K
3.127 1.807 0.000 K
-1.038 1.807 3.155 Pm
2.089 0.000 3.155 Bi
-0.027 0.000 4.373 O
1.005 1.807 1.897 O
3.172 1.807 4.413 O
4.205 0.000 1.937 O
```

## Properties
The final energy is -0.214 Ha/atom. The value obtained for the uncorrected formation energy is -1541 kJ/mol of formula units.

No. 7
The following is a DFT calculation (GGA-PBE) of an optimized crystal structure of AgGe2Pd.

```
AgGe2Pd
1.0
3.066 0.000 0.000
-1.533 2.656 0.000
0.000 0.000 26.997
Ag Ge Pd
3 6 3
Cartesian
0.000 0.000 0.000 Ag
0.000 1.770 17.998 Ag
1.533 0.885 8.999 Ag
0.000 0.000 2.559 Ge
0.000 0.000 24.438 Ge
0.000 1.770 15.439 Ge
0.000 1.770 20.557 Ge
1.533 0.885 6.440 Ge
1.533 0.885 11.558 Ge
0.000 0.000 13.498 Pd
0.000 1.770 4.499 Pd
1.533 0.885 22.497 Pd
```

## Properties
The final energy is -0.160 Ha/atom.

No. 8
The following is a DFT calculation (GGA-PBE) of an optimized crystal structure of Zr4Ti3Se2.

```
Zr4Ti3Se2
1.0
7.468 -1.787 0.000
7.468 1.787 0.000
-1.942 0.000 6.545
Zr Ti Se
4 3 2
Cartesian
0.321 0.000 2.186 Zr
2.627 0.000 4.625 Zr
10.367 0.000 1.919 Zr
12.673 0.000 4.359 Zr
5.376 0.000 2.201 Ti
7.468 0.000 0.000 Ti
7.618 0.000 4.344 Ti
0.029 0.000 6.323 Se
12.965 0.000 0.222 Se
```

## Properties
The final energy is -0.282 Ha/atom. The value obtained for the uncorrected formation energy is -418 kJ/mol of formula units.

Which formula does entry 3 have?
CaHf2ScS

Among the records above, which one has the highest final energy?
NaGaPb

Which value of final energy does entry 6 give?
-0.214 Ha/atom